Entry 1:
Here is a geometry-optimized LaNdGe4 structure from the Alexandria database. Energies are from PBE.

Calculated values
Crystal system: cubic
Magnetic moment (μB/cell): 0.004
DFT total energy (eV per cell): -30.65

Cell: 5.7553 5.7553 5.7553 Å, 60.00 60.00 60.00°
Closest atoms and distances in Å follow each position.
Element x y z (fractional)
Ge 0.6229 0.6229 0.1312  6 Ge 2.83-2.92
Ge 0.6229 0.1312 0.6229  6 Ge 2.83-2.92
Ge 0.6229 0.6229 0.6229  6 Ge 2.83-2.92
Ge 0.1312 0.6229 0.6229  6 Ge 2.83-2.92
Nd 0.2500 0.2500 0.2500  12 Ge 3.37, 4 La 3.52
La 0.0000 0.0000 0.0000  12 Ge 3.38, 4 Nd 3.52



Entry 2:
Here is a geometry-optimized SrCu2GeSe4 structure from the Alexandria database. Energies are from PBE.

Calculated values
Crystal system: orthorhombic
Magnetic moment (μB/cell): 0.000
DFT total energy (eV per cell): -67.21
Formation energy (no corrections) (eV/atom): -0.65

Cell: 6.7410 6.6509 9.1217 Å, 90.00 90.00 90.00°
Closest atoms and distances in Å follow each position.
Element x y z (fractional)
Sr 0.0026 0.2410 0.5000  4 Se 2.99-3.26
Sr 0.5026 0.7590 0.0000  4 Se 2.99-3.26
Cu 0.4903 0.3169 0.2481  4 Se 2.43-2.52
Cu 0.4903 0.3169 0.7519  4 Se 2.43-2.52
Cu 0.9903 0.6831 0.7481  4 Se 2.43-2.52
Cu 0.9903 0.6831 0.2519  4 Se 2.43-2.52
Ge 0.5061 0.8086 0.5000  4 Se 2.40-2.43
Ge 0.0061 0.1914 0.0000  4 Se 2.40-2.43
Se 0.3649 0.2292 0.0000  1 Ge 2.43, 2 Cu 2.49
Se 0.8649 0.7708 0.5000  1 Ge 2.43, 2 Cu 2.49
Se 0.4535 0.1661 0.5000  1 Ge 2.40, 2 Cu 2.52
Se 0.9535 0.8339 0.0000  1 Ge 2.40, 2 Cu 2.52
Se 0.3461 0.6461 0.7040  1 Ge 2.41, 2 Cu 2.43-2.44
Se 0.8461 0.3539 0.2040  1 Ge 2.41, 2 Cu 2.43-2.44
Se 0.8461 0.3539 0.7960  1 Ge 2.41, 2 Cu 2.43-2.44
Se 0.3461 0.6461 0.2960  1 Ge 2.41, 2 Cu 2.43-2.44



Entry 3:
Here is a geometry-optimized Sm3Mg2Cd2 structure from the Alexandria database. Energies are from PBE.

Calculated values
Crystal system: triclinic
Magnetic moment (μB/cell): 0.000
DFT total energy (eV per cell): -20.27

Cell: 6.1196 6.1157 8.4640 Å, 102.54 107.10 130.38°
Closest atoms and distances in Å follow each position.
Element x y z (fractional)
Sm 0.0000 0.0000 0.0000  2 Cd 3.15, 4 Sm 3.52-3.53
Sm 0.3126 0.0897 0.7009  3 Cd 3.13-3.15, 3 Mg 3.37-3.40
Sm 0.6874 0.9103 0.2991  3 Cd 3.13-3.15, 3 Mg 3.37-3.40
Mg 0.8850 0.4941 0.1906  3 Cd 3.15-3.18, 4 Sm 3.37-3.52
Mg 0.1150 0.5059 0.8094  3 Cd 3.15-3.18, 4 Sm 3.37-3.52
Cd 0.5560 0.3129 0.4351  1 Cd 2.88, 4 Sm 3.13-3.15, 3 Mg 3.15-3.18
Cd 0.4440 0.6871 0.5649  1 Cd 2.88, 4 Sm 3.13-3.15, 3 Mg 3.15-3.18



Entry 4:
Here is a geometry-optimized PPdPt2 structure from the Alexandria database. Energies are from PBE.

Calculated values
Crystal system: trigonal
Magnetic moment (μB/cell): 0.000
DFT total energy (eV per cell): -22.49

Cell: 2.8608 2.8608 9.1496 Å, 81.01 81.01 60.00°
Closest atoms and distances in Å follow each position.
Element x y z (fractional)
P 0.5000 0.5000 0.5000  6 Pt 2.48
Pd 0.0000 0.0000 0.0000  2 Pt 2.66, 6 Pd 2.86
Pt 0.0984 0.0984 0.7050  3 P 2.48, 1 Pd 2.66
Pt 0.9016 0.9016 0.2950  3 P 2.48, 1 Pd 2.66



Entry 5:
Here is a geometry-optimized Co3Ni7 structure from the Alexandria database. Energies are from PBE.

Calculated values
Crystal system: orthorhombic
Magnetic moment (μB/cell): 9.839
DFT total energy (eV per cell): -61.79

Cell: 3.5358 3.5326 8.8984 Å, 90.00 101.46 90.00°
Closest atoms and distances in Å follow each position.
Element x y z (fractional)
Co 0.9997 0.0000 0.9994  4 Co 2.46-2.47, 8 Ni 2.48-2.50
Co 0.9015 0.5000 0.8029  2 Co 2.46, 10 Ni 2.47-2.50
Co 0.5986 0.0000 0.1973  10 Ni 2.46-2.50, 2 Co 2.47
Ni 0.8008 0.0000 0.6016  10 Ni 2.47-2.51, 2 Co 2.49
Ni 0.6985 0.5000 0.3970  10 Ni 2.47-2.51, 2 Co 2.48
Ni 0.5001 0.5000 0.0001  8 Co 2.46-2.50, 4 Ni 2.48
Ni 0.3999 0.0000 0.7999  6 Ni 2.47-2.48, 6 Co 2.48-2.50
Ni 0.3005 0.5000 0.6009  10 Ni 2.48-2.51, 2 Co 2.50
Ni 0.2001 0.0000 0.4002  10 Ni 2.49-2.50, 2 Co 2.50
Ni 0.0998 0.5000 0.1995  6 Ni 2.47-2.49, 6 Co 2.48-2.50



Entry 6:
Here is a geometry-optimized HgPRh2 structure from the Alexandria database. Energies are from PBE.

Calculated values
Crystal system: cubic
Magnetic moment (μB/cell): 0.000
DFT total energy (eV per cell): -18.92

Cell: 4.4873 4.4873 4.4873 Å, 60.00 60.00 60.00°
Closest atoms and distances in Å follow each position.
Element x y z (fractional)
Hg 0.5000 0.5000 0.5000  4 P 2.75, 4 Rh 2.75
P 0.7500 0.7500 0.7500  4 Hg 2.75, 4 Rh 2.75
Rh 0.0000 0.0000 0.0000  4 Rh 2.75, 4 P 2.75
Rh 0.2500 0.2500 0.2500  4 Hg 2.75, 4 Rh 2.75



Entry 7:
Here is a geometry-optimized BaCuS2 structure from the Alexandria database. Energies are from PBE.

Calculated values
Crystal system: orthorhombic
Magnetic moment (μB/cell): 0.000
DFT total energy (eV per cell): -37.18
Formation energy (no corrections) (eV/atom): -1.08

Cell: 5.3382 6.5015 6.5015 Å, 117.03 90.00 90.00°
Closest atoms and distances in Å follow each position.
Element x y z (fractional)
S 0.7500 0.8666 0.6669  2 Cu 2.35
S 0.2500 0.1334 0.3331  2 Cu 2.35
S 0.7500 0.3331 0.1334  2 Cu 2.35
S 0.2500 0.6669 0.8666  2 Cu 2.35
Ba 0.7500 0.3513 0.6487  8 S 3.21-3.30
Ba 0.2500 0.6487 0.3513  8 S 3.21-3.30
Cu 0.5000 0.0000 0.0000  4 S 2.35
Cu 0.0000 0.0000 0.0000  4 S 2.35



Entry 8:
Here is a geometry-optimized Tm2BiRu structure from the Alexandria database. Energies are from PBE.

Calculated values
E above lowest polymorph (meV per atom): 225
Crystal system: monoclinic
Magnetic moment (μB/cell): 0.000
DFT total energy (eV per cell): -93.91

Cell: 6.1668 6.2514 11.3046 Å, 109.11 90.00 90.00°
Closest atoms and distances in Å follow each position.
Element x y z (fractional)
Tm 0.8748 0.0399 0.8810  2 Ru 2.73-3.00
Tm 0.1252 0.9601 0.1190  2 Ru 2.73-3.00
Tm 0.8748 0.4601 0.6190  2 Ru 2.73-3.00
Tm 0.1252 0.5399 0.3810  2 Ru 2.73-3.00
Tm 0.6725 0.4313 0.1673  2 Ru 2.83-2.85, 1 Bi 3.11
Tm 0.3275 0.5687 0.8327  2 Ru 2.83-2.85, 1 Bi 3.11
Tm 0.6725 0.0687 0.3327  2 Ru 2.83-2.85, 1 Bi 3.11
Tm 0.3275 0.9313 0.6673  2 Ru 2.83-2.85, 1 Bi 3.11
Bi 0.1886 0.0539 0.4081  1 Ru 2.75
Bi 0.8114 0.9461 0.5919  1 Ru 2.75
Bi 0.1886 0.4461 0.0919  1 Ru 2.75
Bi 0.8114 0.5539 0.9081  1 Ru 2.75
Ru 0.3524 0.4541 0.5676  1 Ru 2.56, 3 Tm 2.73-2.85, 1 Bi 2.75
Ru 0.6476 0.5459 0.4324  1 Ru 2.56, 3 Tm 2.73-2.85, 1 Bi 2.75
Ru 0.3524 0.0459 0.9324  1 Ru 2.56, 3 Tm 2.73-2.85, 1 Bi 2.75
Ru 0.6476 0.9541 0.0676  1 Ru 2.56, 3 Tm 2.73-2.85, 1 Bi 2.75